Record 1
# PBE LaCe2PaSe5, relaxed
# Formation energy without anion corrections in eV per atom: -1.1670
# Energy in eV per atom: -6.024
data_LaCe2PaSe5
_chemical_formula_sum 'La1 Ce2 Pa1 Se5'
_cell_length_a 5.226
_cell_length_b 5.226
_cell_length_c 11.071
_cell_angle_alpha 90.00
_cell_angle_beta 90.00
_cell_angle_gamma 90.00
_symmetry_space_group_name_H-M 'P 4/m m m'
_symmetry_Int_Tables_number 123
_symmetry_space_group_name_Hall '-P 4 2'
loop_
_atom_site_label
_atom_site_type_symbol
_atom_site_fract_x
_atom_site_fract_y
_atom_site_fract_z
La1 La 0.000 0.000 0.000
Ce1 Ce 0.500 0.500 0.326
Pa1 Pa 0.000 0.000 0.500
Se1 Se 0.000 0.000 0.250
Se2 Se 0.000 0.500 0.500
Se3 Se 0.500 0.500 0.000

***

Record 2
# PBE CaZnAs2, relaxed
# Formation enthalpy at 0 K in eV/atom: -0.462
# Energy in eV per atom: -3.605
data_CaZnAs2
_chemical_formula_sum 'Ca1 Zn1 As2'
_cell_length_a 4.301
_cell_length_b 3.936
_cell_length_c 5.692
_cell_angle_alpha 90.00
_cell_angle_beta 94.56
_cell_angle_gamma 90.00
_symmetry_space_group_name_H-M 'P 1 2/m 1'
_symmetry_Int_Tables_number 10
loop_
_symmetry_equiv_pos_as_xyz
'x,y,z'
'-x,-y,-z'
'-x,y,-z'
'x,-y,z'
loop_
_atom_site_label
_atom_site_type_symbol
_atom_site_fract_x
_atom_site_fract_y
_atom_site_fract_z
Ca1 Ca 0.000 0.000 0.000
Zn1 Zn 0.500 0.000 0.500
As1 As 0.430 0.500 0.776

***

Record 3
# PBE GdNiPt, relaxed
# Formation enthalpy at 0 K in eV/atom: -0.766
# Energy in eV per atom: -9.401
# Distance to the lowest polymorph of the same formula in meV per atom: 0
data_GdNiPt
_chemical_formula_sum 'Gd1 Ni1 Pt1'
_cell_length_a 4.2394
_cell_length_b 4.2394
_cell_length_c 3.7738
_cell_angle_alpha 90.00
_cell_angle_beta 90.00
_cell_angle_gamma 120.00
_symmetry_space_group_name_H-M 'P -6 m 2'
_symmetry_Int_Tables_number 187
_symmetry_space_group_name_Hall 'P -6 2'
loop_
_atom_site_label
_atom_site_type_symbol
_atom_site_fract_x
_atom_site_fract_y
_atom_site_fract_z
Gd1 Gd 0.0000 0.0000 0.0000
Ni1 Ni 0.3333 0.6667 0.5000
Pt1 Pt 0.6667 0.3333 0.5000

***

Record 4
# PBE SmCdC2O6, relaxed
# Formation energy without anion corrections in eV per atom: -1.7684
# Energy in eV per atom: -7.152
data_SmCdC2O6
_chemical_formula_sum 'Sm4 Cd4 C8 O24'
_cell_length_a 8.638
_cell_length_b 9.828
_cell_length_c 7.168
_cell_angle_alpha 90.00
_cell_angle_beta 112.82
_cell_angle_gamma 90.00
_symmetry_space_group_name_H-M 'C 1 2/c 1'
_symmetry_Int_Tables_number 15
loop_
_symmetry_equiv_pos_as_xyz
'x,y,z'
'-x,-y,-z'
'-x,y,-z+1/2'
'x,-y,z+1/2'
'x+1/2,y+1/2,z'
'-x+1/2,-y+1/2,-z'
'-x+1/2,y+1/2,-z+1/2'
'x+1/2,-y+1/2,z+1/2'
loop_
_atom_site_label
_atom_site_type_symbol
_atom_site_fract_x
_atom_site_fract_y
_atom_site_fract_z
Sm1 Sm 0.000 0.094 0.250
Cd1 Cd 0.000 0.396 0.750
C1 C 0.237 0.127 0.760
O1 O 0.089 0.111 0.611
O2 O 0.173 0.270 0.229
O3 O 0.219 0.471 0.105

***

- energy of number 4 (SmCdC2O6)?
  -7.152 eV per atom

***

- Among the records above, which one has the lowest energy?
  GdNiPt